SCAN VFe3, single point on PBEsol structure; SG = Cmmm (65); total moment = 6.04 μB/f.u.; formation energy from the elements = -0.059 eV/atom
1.0
2.8656 0.0000 0.0000
0.0000 3.9402 0.0000
0.0000 0.0000 7.8951
V Fe
2 6
Cartesian
0.0000 0.0000 0.0000
1.4328 1.9701 0.0000
0.0000 0.0000 3.9475
0.0000 1.9701 1.9983
0.0000 1.9701 5.8968
1.4328 0.0000 1.9983
1.4328 0.0000 5.8968
1.4328 1.9701 3.9475

---

SCAN Zr2V3Fe, single point on PBEsol structure; SG = R-3m (166); total moment = 0.00 μB/f.u.; formation energy from the elements = -0.089 eV/atom
1.0
2.5775 1.4881 3.9743
-2.5775 1.4881 3.9743
0.0000 -2.9762 3.9743
Zr V Fe
2 3 1
Cartesian
0.0000 0.0000 1.5049
0.0000 0.0000 10.4179
-1.2887 -0.7441 3.9743
-1.2887 0.7441 7.9485
0.0000 1.4881 3.9743
0.0000 0.0000 5.9614